{
  "formula": "CoIr2RuO8",
  "functional": "GGA+U",
  "state": "optimized geometry",
  "lattice": [[3.2004, -3.2269, 0.0000], [3.2004, 3.2269, 0.0000], [0.0000, 0.0000, 6.2908]],
  "species": ["Co", "Ir", "Ir", "Ru", "O", "O", "O", "O", "O", "O", "O", "O"],
  "frac_coords": [[0.0000, 0.0000, 0.0000], [0.5000, 0.5000, 0.2491], [0.5000, 0.5000, 0.7509], [0.0000, 0.0000, 0.5000], [0.1972, 0.1972, 0.2585], [0.1972, 0.1972, 0.7415], [0.3073, 0.6927, 0.5000], [0.3091, 0.6909, 0.0000], [0.6909, 0.3091, 0.0000], [0.6927, 0.3073, 0.5000], [0.8028, 0.8028, 0.2585], [0.8028, 0.8028, 0.7415]],
  "total_magnetization_mub_per_cell": 2.2,
  "space_group": "Cmmm",
  "final_energy_ev_per_cell": -82.3
}